! TbZrPb2 (PBE, optimized geometry); values from VASP
&SYSTEM
  ibrav = 0, nat = 4, ntyp = 3
/
ATOMIC_SPECIES
Pb 207.20 Pb.upf
Tb 158.93 Tb.upf
Zr 91.22 Zr.upf
CELL_PARAMETERS angstrom
4.4524 0.0000 0.0000
0.0000 4.8267 0.0000
0.0000 0.0000 4.8267
ATOMIC_POSITIONS crystal
Pb 0.0000 0.0000 0.5000
Pb 0.0000 0.5000 0.0000
Tb 0.5000 0.0000 0.0000
Zr 0.5000 0.5000 0.5000
! Volume = 25.93 Å³ per atom
! E_tot = -21.5 eV/cell
! Symmetry = No. 123
! DOS(E_F) = 4.03 states/eV/f.u.
! Formation energy = -0.92 eV/f.u.


! BaLiAcRh (PBE, optimized geometry); values from VASP
&SYSTEM
  ibrav = 0, nat = 4, ntyp = 4
/
ATOMIC_SPECIES
Ac 227.00 Ac.upf
Rh 102.91 Rh.upf
Ba 137.33 Ba.upf
Li 6.94 Li.upf
CELL_PARAMETERS angstrom
5.4531 0.0000 0.0000
2.7265 4.7225 0.0000
2.7265 1.5742 4.4524
ATOMIC_POSITIONS crystal
Ac 0.7500 0.7500 0.7500
Rh 0.5000 0.5000 0.5000
Ba 0.2500 0.2500 0.2500
Li 0.0000 0.0000 0.0000
! Volume = 28.66 Å³ per atom
! E_tot = -15.7 eV/cell
! Symmetry = No. 216
! DOS(E_F) = 2.66 states/eV/f.u.
! Formation energy = -0.44 eV/f.u.


! K2TlMoCl8 (PBE, optimized geometry); values from VASP
&SYSTEM
  ibrav = 0, nat = 12, ntyp = 4
/
ATOMIC_SPECIES
K 39.10 K.upf
Tl 204.38 Tl.upf
Mo 95.94 Mo.upf
Cl 35.45 Cl.upf
CELL_PARAMETERS angstrom
6.9147 -0.1309 -0.0022
-0.0950 6.5475 -0.0075
0.0071 0.0101 8.9721
ATOMIC_POSITIONS crystal
K 0.4993 0.4977 0.7572
K 0.5007 0.5023 0.2428
Tl 0.0000 0.0000 0.5000
Mo 0.0000 0.0000 0.0000
Cl 0.1222 0.7872 0.1899
Cl 0.7048 0.8034 0.9986
Cl 0.8756 0.2111 0.1900
Cl 0.8778 0.2128 0.8101
Cl 0.2952 0.1966 0.0014
Cl 0.1244 0.7889 0.8100
Cl 0.6798 0.7284 0.5012
Cl 0.3202 0.2716 0.4988
! Volume = 33.84 Å³ per atom
! Formation energy (no corrections) = -1.1842 eV per atom
! E_tot = -44.4 eV/cell
! Symmetry = No. 2
! DOS(E_F) = 8.63 states/eV/f.u.


! Ac2Ga3Au6 (PBE, optimized geometry); values from VASP
&SYSTEM
  ibrav = 0, nat = 11, ntyp = 3
/
ATOMIC_SPECIES
Ac 227.00 Ac.upf
Ga 69.72 Ga.upf
Au 196.97 Au.upf
CELL_PARAMETERS angstrom
-3.3801 2.3557 2.0892
2.7779 -2.2849 7.0706
2.6285 6.7110 -3.3142
ATOMIC_POSITIONS crystal
Ac 0.0000 0.6667 0.3333
Ac 0.0000 0.3333 0.6667
Ga 0.5000 0.3519 0.3519
Ga 0.5000 0.6481 0.0000
Ga 0.5000 0.0000 0.6481
Au 0.5000 0.6780 0.6780
Au 0.5000 0.0000 0.3220
Au 0.0000 0.2067 0.2067
Au 0.0000 0.7933 0.0000
Au 0.5000 0.3220 0.0000
Au 0.0000 0.0000 0.7933
! Volume = 22.89 Å³ per atom
! E_tot = -43.4 eV/cell
! Symmetry = No. 189
! DOS(E_F) = 6.11 states/eV/f.u.
! Formation energy = -6.48 eV/f.u.